Compound: BaLaCo2
Source: Alexandria
Functional: PBE
Structure: relaxed

Unit cell a=3.4720 b=3.4720 c=8.6053 alpha=90.00 beta=90.00 gamma=89.99
Each line ends with the local moment (μB).
Sites, in units of the cell vectors:
1 La 0.0000 0.0000 0.3888  -0.17
2 Co 0.5000 0.5000 0.1755  1.42
3 Co 0.0000 0.0000 0.1069  1.19
4 Ba 0.5000 0.5000 0.8287  0.01

Values from the calculation:
The calculation puts the formation energy at 0.33 eV per atom. The calculation puts the density of states at the Fermi level at 4.53 states/eV/cell.